The following is a DFT calculation (PBE-GGA) of an optimized crystal structure of Y7PtS5.

a = 3.883 Å, b = 23.550 Å, c = 6.739 Å
α = 90.00°, β = 106.67°, γ = 90.00°
Space group P2_1/m (No. 11)
Unique sites:
Y (0.037, 0.250, 0.074) x2
Y (0.137, 0.537, 0.275) x4
Y (0.307, 0.177, 0.615) x4
Y (0.410, 0.609, 0.821) x4
Pt (0.301, 0.750, 0.602) x2
S (0.049, 0.642, 0.099) x4
S (0.225, 0.071, 0.450) x4
S (0.500, 0.000, 0.000) x2

Computed properties:
- VASP energy (eV per cell) = -189.62
- magnetization (μB per atom) = 0.00
- formation energy without anion corrections (eV per atom) = -1.7604